1.
This record from the Alexandria database describes Pa2Cu3Pd after structural relaxation. The functional is PBE.

Summary:
**ρ**: 11.736 g/cm³
**Energy relative to the elements**: -211 meV per atom
**Density of states at the Fermi level**: 0.710 states/eV/atom

abc: 5.436 5.436 8.353
angles: 102.25 102.25 110.37
Sites, in units of the cell vectors:
Pd: 0.667 0.667 0.335
Pd: 0.333 0.333 0.665
Pa: 0.262 0.262 0.000
Cu: 0.838 0.838 0.676
Pa: 0.250 0.750 0.500
Cu: 0.676 0.162 0.838
Cu: 0.324 0.838 0.162
Cu: 0.162 0.676 0.838
Pa: 0.738 0.738 0.000
Cu: 0.162 0.162 0.324
Cu: 0.838 0.324 0.162
Pa: 0.750 0.250 0.500

***

2.
This record from the Alexandria database describes PaCu3Pd12 after structural relaxation. The functional is PBE.

Summary:
**ρ**: 11.342 g/cm³
**Energy relative to the elements**: -265 meV per atom
**Density of states at the Fermi level**: 0.954 states/eV/atom

abc: 4.029 4.029 15.319
angles: 90.00 90.00 90.00
Sites, in units of the cell vectors:
Pd: 0.000 0.500 0.133
Pd: 0.500 0.500 0.500
Pd: 0.000 0.500 0.380
Pd: 0.500 0.500 0.258
Pa: 0.000 0.000 0.000
Pd: 0.500 0.000 0.867
Pd: 0.500 0.500 0.742
Pd: 0.500 0.000 0.380
Cu: 0.000 0.000 0.739
Pd: 0.000 0.500 0.867
Pd: 0.500 0.000 0.620
Pd: 0.500 0.500 0.000
Cu: 0.000 0.000 0.500
Pd: 0.000 0.500 0.620
Pd: 0.500 0.000 0.133
Cu: 0.000 0.000 0.261

***

3.
This record from the Alexandria database describes PaCuPd2 after structural relaxation. The functional is PBE.

Summary:
**ρ**: 11.508 g/cm³
**Energy relative to the elements**: -361 meV per atom
**Polymorph energy (0 for the lowest one)**: 9.5 kJ/mol of atoms
**Density of states at the Fermi level**: 1.104 states/eV/atom

abc: 4.696 4.696 4.696
angles: 60.00 60.00 60.00
Sites, in units of the cell vectors:
Cu: 0.500 0.500 0.500
Pd: 0.750 0.750 0.750
Pd: 0.250 0.250 0.250
Pa: 0.000 0.000 0.000

***

4.
This record from the Alexandria database describes Pa2CuPd after structural relaxation. The functional is PBE.

Summary:
**ρ**: 12.598 g/cm³
**Energy relative to the elements**: 144 meV per atom
**Polymorph energy (0 for the lowest one)**: 29.5 kJ/mol of atoms
**Density of states at the Fermi level**: 1.396 states/eV/atom

abc: 3.077 3.077 10.317
angles: 81.42 81.42 60.00
Sites, in units of the cell vectors:
Pa: 0.088 0.088 0.735
Pd: 0.000 0.000 0.000
Pa: 0.912 0.912 0.265
Cu: 0.500 0.500 0.500

***

5.
This record from the Alexandria database describes PaCu2Pd6 after structural relaxation. The functional is PBE.

Summary:
**ρ**: 11.259 g/cm³
**Energy relative to the elements**: -352 meV per atom
**Density of states at the Fermi level**: 0.374 states/eV/atom

abc: 4.188 8.726 8.726
angles: 67.23 89.94 89.94
Sites, in units of the cell vectors:
Pd: 0.752 0.481 0.713
Pd: 0.250 0.382 0.009
Pd: 0.248 0.519 0.287
Pa: 0.250 0.238 0.762
Pd: 0.252 0.713 0.481
Cu: 0.750 0.337 0.210
Pd: 0.749 0.997 0.817
Pd: 0.751 0.183 0.003
Pd: 0.249 0.817 0.997
Cu: 0.750 0.790 0.663
Pd: 0.250 0.991 0.618
Pd: 0.750 0.618 0.991
Pd: 0.748 0.287 0.519
Cu: 0.250 0.210 0.337
Pd: 0.750 0.009 0.382
Cu: 0.250 0.663 0.790
Pd: 0.251 0.003 0.183
Pa: 0.750 0.762 0.238

***

6.
This record from the Alexandria database describes Pa2CuPd6 after structural relaxation. The functional is PBE.

Summary:
**ρ**: 11.878 g/cm³
**Energy relative to the elements**: -516 meV per atom
**Density of states at the Fermi level**: 0.967 states/eV/atom

abc: 5.718 5.732 5.732
angles: 60.02 90.06 90.06
Sites, in units of the cell vectors:
Pa: 0.791 0.667 0.667
Pa: 0.209 0.333 0.333
Pd: 0.692 0.650 0.175
Pd: 0.307 0.825 0.825
Pd: 0.693 0.175 0.175
Pd: 0.308 0.350 0.825
Pd: 0.692 0.175 0.650
Cu: 0.000 0.000 0.000
Pd: 0.308 0.825 0.350

***

7.
This record from the Alexandria database describes Pa2CuPd after structural relaxation. The functional is PBE.

Summary:
**ρ**: 13.152 g/cm³
**Energy relative to the elements**: -162 meV per atom
**Polymorph energy (0 for the lowest one)**: 0.0 kJ/mol of atoms
**Density of states at the Fermi level**: 1.333 states/eV/atom

abc: 4.229 4.344 4.344
angles: 90.00 90.00 90.00
Sites, in units of the cell vectors:
Pd: 0.500 0.000 0.000
Pa: 0.000 0.000 0.500
Cu: 0.500 0.500 0.500
Pa: 0.000 0.500 0.000

***

8.
This record from the Alexandria database describes PaCuPd6 after structural relaxation. The functional is PBE.

Summary:
**ρ**: 10.961 g/cm³
**Energy relative to the elements**: -226 meV per atom
**Polymorph energy (0 for the lowest one)**: 30.5 kJ/mol of atoms
**Density of states at the Fermi level**: 0.488 states/eV/atom

abc: 5.753 5.753 5.662
angles: 105.03 105.03 118.79
Sites, in units of the cell vectors:
Pd: 0.514 0.963 0.746
Pd: 0.486 0.037 0.254
Cu: 0.500 0.500 0.500
Pd: 0.963 0.514 0.746
Pd: 0.261 0.261 0.753
Pd: 0.037 0.486 0.254
Pd: 0.739 0.739 0.247
Pa: 0.000 0.000 0.000

***

9.
This record from the Alexandria database describes PaCuPd6 after structural relaxation. The functional is PBE.

Summary:
**ρ**: 11.878 g/cm³
**Energy relative to the elements**: -542 meV per atom
**Polymorph energy (0 for the lowest one)**: 0.0 kJ/mol of atoms
**Density of states at the Fermi level**: 0.256 states/eV/atom

abc: 4.038 5.684 5.684
angles: 90.02 90.00 90.00
Sites, in units of the cell vectors:
Pa: 0.500 0.000 0.000
Pd: 0.000 0.746 0.254
Pd: 0.000 0.746 0.746
Pd: 0.500 0.500 0.000
Cu: 0.500 0.500 0.500
Pd: 0.000 0.254 0.746
Pd: 0.500 0.000 0.500
Pd: 0.000 0.254 0.254

***

10.
This record from the Alexandria database describes PaCu8Pd3 after structural relaxation. The functional is PBE.

Summary:
**ρ**: 10.436 g/cm³
**Energy relative to the elements**: -151 meV per atom
**Density of states at the Fermi level**: 0.587 states/eV/atom

abc: 4.964 4.964 7.894
angles: 90.00 90.00 120.00
Sites, in units of the cell vectors:
Cu: 0.333 0.667 0.499
Cu: 0.164 0.328 0.242
Pd: 0.000 0.000 0.929
Cu: 0.672 0.836 0.242
Cu: 0.333 0.667 0.998
Pd: 0.667 0.333 0.439
Pa: 0.000 0.000 0.566
Cu: 0.164 0.836 0.242
Pd: 0.667 0.333 0.067
Cu: 0.504 0.496 0.759
Cu: 0.992 0.496 0.759
Cu: 0.504 0.008 0.759

***

11.
This record from the Alexandria database describes PaCuPd14 after structural relaxation. The functional is PBE.

Summary:
**ρ**: 11.629 g/cm³
**Energy relative to the elements**: -270 meV per atom
**Density of states at the Fermi level**: 1.502 states/eV/atom

abc: 5.714 5.714 7.803
angles: 90.00 90.00 90.01
Sites, in units of the cell vectors:
Pd: 0.623 0.127 0.748
Pa: 0.875 0.875 0.500
Pd: 0.375 0.875 0.000
Pd: 0.375 0.875 0.500
Cu: 0.375 0.375 0.500
Pd: 0.375 0.375 0.000
Pd: 0.875 0.375 0.500
Pd: 0.127 0.127 0.748
Pd: 0.875 0.375 0.000
Pd: 0.127 0.127 0.252
Pd: 0.875 0.875 0.000
Pd: 0.127 0.623 0.748
Pd: 0.127 0.623 0.252
Pd: 0.623 0.623 0.252
Pd: 0.623 0.623 0.748
Pd: 0.623 0.127 0.252

***

12.
This record from the Alexandria database describes PaCuPd2 after structural relaxation. The functional is PBE.

Summary:
**ρ**: 12.091 g/cm³
**Energy relative to the elements**: -365 meV per atom
**Polymorph energy (0 for the lowest one)**: 9.1 kJ/mol of atoms
**Density of states at the Fermi level**: 1.079 states/eV/atom

abc: 3.252 3.252 6.588
angles: 90.00 90.00 90.00
Sites, in units of the cell vectors:
Pd: 0.000 0.000 0.213
Cu: 0.500 0.500 0.000
Pa: 0.500 0.500 0.500
Pd: 0.000 0.000 0.787